# 1
Density functional theory data (PBE) for SrYSc2Ru after structural relaxation.

The structure in POSCAR format:
```
SrYSc2Ru
1.0
5.1824 0.0000 0.0000
0.0000 5.1824 0.0000
0.0000 0.0000 5.4449
Sc Sr Ru Y
2 1 1 1
Direct
0.0000 0.5000 0.0000 Sc
0.5000 0.0000 0.0000 Sc
0.5000 0.5000 0.5000 Sr
0.0000 0.0000 0.0000 Ru
0.0000 0.0000 0.5000 Y
```

Values from the calculation:
ΔE_f, eV/f.u.: -0.6
Final energy, eV per atom: -6.145
Symmetry: No. 123

***

# 2
Density functional theory data (PBE) for Zr6AgN4 after structural relaxation.

The structure in POSCAR format:
```
Zr6AgN4
1.0
3.3401 0.0000 0.0000
-1.6701 5.6089 0.0000
0.0000 0.0000 17.4609
Zr N Ag
12 8 2
Direct
0.3565 0.7131 0.2500 Zr
0.7777 0.5553 0.4219 Zr
0.5000 0.0000 0.5000 Zr
0.5000 0.0000 0.0000 Zr
0.9661 0.9322 0.8538 Zr
0.0339 0.0678 0.3538 Zr
0.7777 0.5553 0.0781 Zr
0.6435 0.2869 0.7500 Zr
0.9661 0.9322 0.6462 Zr
0.2223 0.4447 0.9219 Zr
0.2223 0.4447 0.5781 Zr
0.0339 0.0678 0.1462 Zr
0.4049 0.8099 0.1205 N
0.5950 0.1901 0.6205 N
0.4049 0.8099 0.3795 N
0.8612 0.7224 0.9612 N
0.5950 0.1901 0.8795 N
0.1388 0.2776 0.0388 N
0.8612 0.7224 0.5388 N
0.1388 0.2776 0.4612 N
0.6578 0.3155 0.2500 Ag
0.3422 0.6845 0.7500 Ag
```

Values from the calculation:
Final energy, eV per atom: -9.199
Symmetry: No. 63

***

# 3
Density functional theory data (PBE) for PrSm2Si after structural relaxation.

The structure in POSCAR format:
```
PrSm2Si
1.0
4.7273 0.0000 0.0000
0.0000 4.7717 0.0000
0.0000 0.0000 4.7717
Si Pr Sm
1 1 2
Direct
0.5000 0.5000 0.5000 Si
0.5000 0.0000 0.0000 Pr
0.0000 0.0000 0.5000 Sm
0.0000 0.5000 0.0000 Sm
```

Values from the calculation:
ΔE to the lowest computed polymorph, kcal/mol of atoms: 0.00
Final energy, eV per atom: -5.158
Symmetry: No. 123

***

# 4
Density functional theory data (PBE) for Na2CdF4 after structural relaxation.

The structure in POSCAR format:
```
Na2CdF4
1.0
3.4285 0.0000 0.0000
0.0000 5.8036 -0.1562
-1.7142 -2.9878 5.3869
Na F Cd
2 4 1
Direct
0.2989 0.2845 0.5978 Na
0.7011 0.7155 0.4022 Na
0.6331 0.2704 0.2663 F
0.8752 0.1650 0.7503 F
0.3669 0.7296 0.7337 F
0.1248 0.8350 0.2497 F
0.0000 0.0000 0.0000 Cd
```

Values from the calculation:
ΔE to the lowest computed polymorph, kcal/mol of atoms: 0.26
Final energy, eV per atom: -4.059
Symmetry: No. 12

***

# 5
Density functional theory data (PBE) for LaTl2P after structural relaxation.

The structure in POSCAR format:
```
LaTl2P
1.0
4.4061 0.0000 0.0000
0.0000 4.3989 0.3148
0.0000 4.0359 5.7542
Tl P La
2 1 1
Direct
0.5000 0.5000 0.0000 Tl
0.0000 0.0000 0.0000 Tl
0.0000 0.0000 0.5000 P
0.5000 0.5000 0.5000 La
```

Values from the calculation:
ΔE to the lowest computed polymorph, kcal/mol of atoms: 1.96
ΔE_f, eV/f.u.: -1.8
Final energy, eV per atom: -4.214
Symmetry: No. 10

***

# 6
Density functional theory data (PBE) for RbSrNb after structural relaxation.

The structure in POSCAR format:
```
RbSrNb
1.0
-10.6969 -9.2245 4.7625
0.2184 -3.0100 -5.3395
4.1306 -3.6426 2.2224
Rb Sr Nb
4 4 4
Direct
0.2282 0.2500 0.5067 Rb
0.2718 0.7500 0.0067 Rb
0.7282 0.2500 0.9933 Rb
0.7718 0.7500 0.4933 Rb
0.5000 0.5000 0.5000 Sr
0.0000 0.5000 0.0000 Sr
0.0000 0.0000 0.0000 Sr
0.5000 0.0000 0.5000 Sr
0.0143 0.7500 0.5001 Nb
0.5143 0.7500 0.9999 Nb
0.9857 0.2500 0.4999 Nb
0.4857 0.2500 0.0001 Nb
```

Values from the calculation:
ΔE to the lowest computed polymorph, kcal/mol of atoms: 19.49
ΔE_f, eV/f.u.: 3.7
Final energy, eV per atom: -2.992
Symmetry: No. 62